This record from Alexandria describes an optimized crystal structure of La2BeRh. The functional is PBEsol.

Lattice parameters (Å, degrees): 3.9624 3.9678 7.8323 104.62 90.00 119.96
Closest atoms and distances in Å follow each position.
Positions (direct):
Be  0.0000  0.0000  0.5000  6 La 3.08
Rh  0.5000  0.0000  0.0000  6 La 2.84
La  0.7585  0.5171  0.7758  3 Rh 2.84, 3 Be 3.08
La  0.2415  0.4829  0.2242  3 Rh 2.84, 3 Be 3.08

Results
Total magnetic moment ... 0.000 μB per formula unit
Uncorrected energy ... -22.84 eV for the cell shown